# 1
Computed, not measured: a relaxed LiScH2Ru crystal at the GGA-PBE level of DFT.

Cell lengths 3.566, 3.566, 5.212 Å; angles 90.00, 90.00, 90.00 degrees
Positions (direct):
Li 0.000 0.000 0.000
Sc 0.000 0.000 0.500
H 0.000 0.500 0.500
H 0.500 0.000 0.500
Ru 0.500 0.500 0.000

Calculated values
V, Å³/atom: 13.25
Energy, eV per formula unit: -21.11
Fermi-level density of states, states/eV/atom: 0.740

# 2
Computed, not measured: a relaxed LiSi2HRu crystal at the GGA-PBE level of DFT.

Cell lengths 4.551, 4.551, 2.828 Å; angles 90.00, 90.00, 90.00 degrees
Positions (direct):
Li 0.000 0.000 0.000
Si 0.000 0.500 0.000
Si 0.500 0.000 0.000
H 0.000 0.000 0.500
Ru 0.500 0.500 0.500

Calculated values
V, Å³/atom: 11.72
Energy, eV per formula unit: -22.36
Fermi-level density of states, states/eV/atom: 0.642

# 3
Computed, not measured: a relaxed Li2SiHRu crystal at the GGA-PBE level of DFT.

Cell lengths 3.588, 3.588, 4.043 Å; angles 90.00, 90.00, 90.00 degrees
Positions (direct):
Li 0.000 0.500 0.000
Li 0.500 0.000 0.000
Si 0.000 0.000 0.500
H 0.500 0.500 0.000
Ru 0.500 0.500 0.500

Calculated values
V, Å³/atom: 10.41
Energy, eV per formula unit: -23.10
Fermi-level density of states, states/eV/atom: 0.549

# 4
Computed, not measured: a relaxed LiSm2H6Ru crystal at the GGA-PBE level of DFT.

Cell lengths 4.977, 4.977, 4.957 Å; angles 90.00, 90.00, 120.00 degrees
Positions (direct):
Li 0.000 0.000 0.000
Sm 0.333 0.667 0.740
Sm 0.667 0.333 0.260
H 0.164 0.328 0.276
H 0.164 0.836 0.276
H 0.328 0.164 0.724
H 0.672 0.836 0.276
H 0.836 0.164 0.724
H 0.836 0.672 0.724
Ru 0.000 0.000 0.500

Calculated values
V, Å³/atom: 10.63
Energy, eV per formula unit: -44.67
Fermi-level density of states, states/eV/atom: 0.290